The following is a PBE with a Hubbard U calculation of a geometry-optimized MnVNiHO structure, from the Alexandria database.

Summary:
For the density, the calculation gives 5.004 g/cm3. As for the density of states at the Fermi level: 0.251 states/eV per atom. Its space group is Cm, No. 8. The total energy comes out at -25.62 eV per cell.

Lattice parameters (Å, degrees): 2.7985 2.7985 8.6642 92.12 92.12 62.72
Last column: nearest neighbours and their distance in Å.
Sites, in units of the cell vectors:
Mn1 0.0000 0.0000 0.0000  3 Ni 2.60-2.68, 2 V 2.77, 6 Mn 2.80-2.91
V1 0.4111 0.4111 0.2655  3 O 2.04-2.05
Ni1 0.6552 0.6552 0.7589  2 H 2.52, 3 Mn 2.60-2.68, 4 Ni 2.80
H1 0.0890 0.0890 0.5227  1 O 1.00
O1 0.0789 0.0789 0.4068  1 H 1.00